# 1
Rb2Li3InF12, optimized geometry, DFT PBE-GGA; raw formation energy = -2074 meV/atom; calculated total energy = -3.90 eV per atom
1.0
3.561 2.056 6.151
-3.561 2.056 6.151
0.000 -4.111 6.151
Rb Li In F
2 3 1 12
Direct
0.128 0.128 0.128
0.872 0.872 0.872
0.000 0.500 0.500
0.500 0.000 0.500
0.500 0.500 0.000
0.500 0.500 0.500
0.150 0.150 0.630
0.150 0.630 0.150
0.152 0.582 0.582
0.370 0.850 0.850
0.418 0.418 0.848
0.418 0.848 0.418
0.582 0.152 0.582
0.582 0.582 0.152
0.630 0.150 0.150
0.848 0.418 0.418
0.850 0.370 0.850
0.850 0.850 0.370

---

# 2
Rb3Li2InF9, optimized geometry, DFT PBE-GGA; raw formation energy = -2584 meV/atom; calculated total energy = -4.34 eV per atom
1.0
5.953 0.000 0.000
-2.977 5.156 0.000
0.000 0.000 7.475
Rb Li In F
3 2 1 9
Direct
0.000 0.000 0.000
0.333 0.667 0.681
0.667 0.333 0.319
0.333 0.667 0.179
0.667 0.333 0.821
0.000 0.000 0.500
0.000 0.500 0.000
0.166 0.333 0.335
0.166 0.834 0.335
0.333 0.166 0.665
0.500 0.000 0.000
0.500 0.500 0.000
0.667 0.834 0.335
0.834 0.166 0.665
0.834 0.667 0.665

---

# 3
Rb2LiInF6, optimized geometry, DFT PBE-GGA; raw formation energy = -2765 meV/atom; calculated total energy = -4.55 eV per atom
1.0
0.000 4.276 4.276
4.276 0.000 4.276
4.276 4.276 0.000
Rb Li In F
2 1 1 6
Direct
0.250 0.250 0.250
0.750 0.750 0.750
0.000 0.000 0.000
0.500 0.500 0.500
0.252 0.252 0.748
0.252 0.748 0.252
0.252 0.748 0.748
0.748 0.252 0.252
0.748 0.252 0.748
0.748 0.748 0.252